GGA+U Ba2CoF6, optimized geometry; magnetic moment = 0.33 μB/atom; space-group type = I4/mmm (139); E above lowest polymorph = 26 meV/atom; density of states at the Fermi level = 0.0000 states/eV/atom
1.0
8.985 0.001 0.000
7.103 5.502 0.000
-8.044 -2.752 2.907
Co Ba F
1 2 6
Direct
0.500 0.500 0.000
0.153 0.153 0.000
0.847 0.847 0.000
0.620 0.620 0.000
0.250 0.750 0.500
0.500 0.000 0.500
0.000 0.500 0.500
0.750 0.250 0.500
0.380 0.380 0.000

GGA+U Ba2CoF2, optimized geometry; magnetic moment = 0.34 μB/atom; space-group type = P4/mbm (127); E above lowest polymorph = 0 meV/atom; density of states at the Fermi level = 0.6768 states/eV/atom
1.0
-6.893 4.034 -0.769
-3.909 -6.906 -1.184
-0.550 -0.281 3.456
Co Ba F
2 4 4
Direct
0.000 0.000 0.000
0.500 0.500 0.000
0.181 0.681 0.500
0.681 0.819 0.500
0.819 0.319 0.500
0.319 0.181 0.500
0.381 0.881 0.000
0.881 0.619 0.000
0.619 0.119 0.000
0.119 0.381 0.000